(1)
! PBE CoAsOs2, relaxed; values from VASP
&SYSTEM
  ibrav = 0, nat = 4, ntyp = 3
/
ATOMIC_SPECIES
As 74.92 As.upf
Co 58.93 Co.upf
Os 190.23 Os.upf
ATOMIC_POSITIONS angstrom
As 2.130 -0.001 1.475
Co 0.001 2.130 1.475
Os 0.000 0.000 0.000
Os 2.131 2.130 0.000
CELL_PARAMETERS angstrom
4.260 -0.001 0.000
0.001 4.260 0.000
0.000 0.000 2.951
! energy of formation from the pure elements	0.381	eV per atom
! raw total energy	-32.7	eV/cell

=====

(2)
! PBE TlPbAu, relaxed; values from VASP
&SYSTEM
  ibrav = 0, nat = 12, ntyp = 3
/
ATOMIC_SPECIES
Pb 207.20 Pb.upf
Tl 204.38 Tl.upf
Au 196.97 Au.upf
ATOMIC_POSITIONS angstrom
Pb 0.434 3.881 1.333
Pb 0.414 8.617 3.757
Pb -4.387 7.630 2.645
Pb -4.367 2.894 0.222
Tl 2.859 6.708 1.924
Tl -2.742 4.307 2.979
Tl -6.812 4.803 2.054
Tl -1.211 7.204 0.999
Au -3.921 5.796 0.361
Au -2.374 9.716 3.133
Au -0.033 5.715 3.617
Au -1.579 1.795 0.845
CELL_PARAMETERS angstrom
-6.865 3.577 -1.525
-1.029 -0.058 4.499
3.941 7.992 1.004
! energy of formation from the pure elements	-0.050	eV per atom
! raw total energy	-38.0	eV/cell

=====

(3)
! PBE La2GaAu6, relaxed; values from VASP
&SYSTEM
  ibrav = 0, nat = 9, ntyp = 3
/
ATOMIC_SPECIES
La 138.91 La.upf
Ga 69.72 Ga.upf
Au 196.97 Au.upf
ATOMIC_POSITIONS angstrom
La 5.748 -0.634 6.554
La 3.122 -0.821 2.101
Ga 0.000 0.000 0.000
Au 6.149 -0.191 3.280
Au 7.802 -2.288 4.524
Au 4.921 -2.737 4.112
Au 2.721 -1.264 5.375
Au 1.068 0.833 4.131
Au 3.950 1.283 4.543
CELL_PARAMETERS angstrom
-1.054 2.150 5.025
3.619 -4.586 2.724
6.306 0.981 0.906
! energy of formation from the pure elements	-0.650	eV per atom
! raw total energy	-38.4	eV/cell

=====

Q: Which of these has the lowest raw total energy?
A: La2GaAu6